VASP calculation (PBE) on NpMnVCr after structural relaxation.

The structure in CIF format:
```
data_NpMnVCr
_cell_length_a 4.313
_cell_length_b 4.313
_cell_length_c 4.313
_cell_angle_alpha 60.00
_cell_angle_beta 60.00
_cell_angle_gamma 60.00
_symmetry_space_group_name_H-M 'P 1'
_symmetry_Int_Tables_number 1
_symmetry_space_group_name_Hall 'P 1'
loop_
_atom_site_label
_atom_site_fract_x
_atom_site_fract_y
_atom_site_fract_z
Np1 0.000 0.000 0.000
Mn1 0.750 0.750 0.750
V1 0.500 0.500 0.500
Cr1 0.250 0.250 0.250
```

As for the symmetry: No. 216. As for the formation energy: 0.278 eV per atom.

VASP calculation (PBE) on Rb2GaBiS4 after structural relaxation.

The structure in CIF format:
```
data_Rb2GaBiS4
_cell_length_a 7.048
_cell_length_b 7.048
_cell_length_c 7.048
_cell_angle_alpha 115.93
_cell_angle_beta 115.93
_cell_angle_gamma 97.21
_symmetry_space_group_name_H-M 'P 1'
_symmetry_Int_Tables_number 1
_symmetry_space_group_name_Hall 'P 1'
loop_
_atom_site_label
_atom_site_fract_x
_atom_site_fract_y
_atom_site_fract_z
Rb1 0.000 0.000 0.000
Rb2 0.750 0.250 0.500
Ga1 0.250 0.750 0.500
Bi1 0.500 0.500 0.000
S1 0.209 0.088 0.557
S2 0.347 0.791 0.878
S3 0.531 0.653 0.443
S4 0.912 0.469 0.122
```

As for the symmetry: No. 82. Its uncorrected formation energy is -0.81 eV/atom.

VASP calculation (PBE) on ScCdAs2 after structural relaxation.

The structure in CIF format:
```
data_ScCdAs2
_cell_length_a 6.602
_cell_length_b 6.602
_cell_length_c 6.602
_cell_angle_alpha 35.89
_cell_angle_beta 35.89
_cell_angle_gamma 35.89
_symmetry_space_group_name_H-M 'P 1'
_symmetry_Int_Tables_number 1
_symmetry_space_group_name_Hall 'P 1'
loop_
_atom_site_label
_atom_site_fract_x
_atom_site_fract_y
_atom_site_fract_z
Sc1 0.000 0.000 0.000
Cd1 0.500 0.500 0.500
As1 0.256 0.256 0.256
As2 0.744 0.744 0.744
```

As for the symmetry: No. 166. As for the formation energy: -0.503 eV per atom.

VASP calculation (PBE) on Cs2MoBr6Cl after structural relaxation.

The structure in CIF format:
```
data_Cs2MoBr6Cl
_cell_length_a 7.489
_cell_length_b 7.508
_cell_length_c 7.574
_cell_angle_alpha 75.05
_cell_angle_beta 75.19
_cell_angle_gamma 75.27
_symmetry_space_group_name_H-M 'P 1'
_symmetry_Int_Tables_number 1
_symmetry_space_group_name_Hall 'P 1'
loop_
_atom_site_label
_atom_site_fract_x
_atom_site_fract_y
_atom_site_fract_z
Cs1 0.000 0.000 0.000
Cs2 0.409 0.410 0.407
Mo1 0.704 0.705 0.704
Br1 0.003 0.556 0.826
Br2 0.403 0.853 0.583
Br3 0.555 0.826 0.002
Br4 0.580 0.405 0.851
Br5 0.826 0.005 0.559
Br6 0.851 0.584 0.407
Cl1 0.199 0.206 0.208
```

As for the symmetry: No. 1. The distance to the lowest polymorph of the same formula comes out at 0.000 eV per atom. Its uncorrected formation energy is -0.99 eV/atom.

Q: What is the formula in the second record?
A: Rb2GaBiS4